[1]
Li3DyAg2 | Alexandria via LeMat-Bulk | PBE | relaxed; ΔE_f = -1.00 eV per formula unit
1.0
-3.719 1.843 0.203
-0.714 -6.527 3.659
3.881 7.394 3.971
Ag Li Dy
4 6 2
Cartesian
-2.414 -0.551 3.309
0.906 1.129 6.352
1.863 3.261 4.524
-1.457 1.581 1.481
-1.801 0.420 5.718
0.417 5.156 3.376
1.250 2.290 2.115
-0.969 -2.445 4.457
-0.814 2.585 4.157
0.262 0.125 3.676
0.093 4.118 6.869
-0.645 -1.407 0.964

[2]
Sm5Y4Th | Alexandria via LeMat-Bulk | PBE | relaxed; ΔE_f = 2.85 eV per formula unit
1.0
6.247 0.000 0.000
3.124 7.414 0.000
3.124 0.000 7.414
Sm Y Th
5 4 1
Cartesian
9.069 2.777 7.401
2.821 4.637 0.013
5.945 7.401 4.637
4.313 0.000 0.000
5.945 0.013 2.777
2.793 2.365 2.379
5.917 5.035 2.365
9.040 5.049 5.035
5.917 2.379 5.049
1.408 0.000 0.000

[3]
CdCu2Pb2 | Alexandria via LeMat-Bulk | PBE | relaxed; ΔE_f = 0.79 eV per formula unit
1.0
7.188 0.000 0.000
0.000 7.188 0.000
0.000 0.000 4.188
Cd Cu Pb
2 4 4
Cartesian
0.000 0.000 0.000
3.594 3.594 0.000
6.296 4.486 0.000
4.486 0.892 0.000
2.702 6.296 0.000
0.892 2.702 0.000
2.357 1.237 2.094
1.237 4.832 2.094
4.832 5.951 2.094
5.951 2.357 2.094